Computed, not measured: a relaxed structure of Hf5Mn2Hg2 at the PBE-GGA level of DFT.

Results
formation energy = -0.075 eV/atom

Cell lengths 8.3940, 8.3940, 6.8559 Å; angles 90.00, 90.00, 48.07 degrees
Last column: nearest neighbours and their distance in Å.
Element x y z (fractional)
Hf 0.0000 0.0000 0.0000  4 Mn 2.77-2.78, 8 Hf 3.05-3.08
Hf 0.0755 0.6909 0.6881  3 Mn 2.64-2.78
Hf 0.1909 0.5755 0.1881  3 Mn 2.64-2.78
Hf 0.3091 0.9245 0.6881  3 Mn 2.64-2.78
Hf 0.4245 0.8091 0.1881  3 Mn 2.64-2.78
Hf 0.5000 0.5000 0.5000  4 Mn 2.77-2.78, 8 Hf 3.05-3.08
Hf 0.5755 0.1909 0.8119  3 Mn 2.64-2.78
Hf 0.6909 0.0755 0.3119  3 Mn 2.64-2.78
Hf 0.8091 0.4245 0.8119  3 Mn 2.64-2.78
Hf 0.9245 0.3091 0.3119  3 Mn 2.64-2.78
Mn 0.1089 0.8911 0.3893  1 Mn 2.13
Mn 0.3911 0.6089 0.8893  1 Mn 2.13
Mn 0.6089 0.3911 0.1107  1 Mn 2.13
Mn 0.8911 0.1089 0.6107  1 Mn 2.13
Hg 0.2285 0.2285 0.0000  6 Hf 3.00-3.04
Hg 0.2715 0.2715 0.5000  6 Hf 3.00-3.04
Hg 0.7285 0.7285 0.5000  6 Hf 3.00-3.04
Hg 0.7715 0.7715 0.0000  6 Hf 3.00-3.04